Record 1
Compound: NaDyCd
Source: Alexandria
Functional: PBE
Structure: relaxed

Cell lengths 5.2519, 5.2519, 22.6514 Å; angles 90.00, 90.00, 120.00 degrees
Space group R-3m (No. 166, hexagonal axes)
One atom of each set of equivalent atoms:
Na1 0.0000 0.0000 0.2043 (multiplicity 6)
Dy1 0.0000 0.0000 0.3712 (multiplicity 6)
Cd1 0.0000 0.0000 0.0639 (multiplicity 6)

Values from the calculation:
- ΔH_f (0 K) (eV per formula unit) = 0.16
- polymorph energy (0 for the lowest one) (kJ per mole of atoms) = 4.27



Record 2
Compound: ZrZn2ICl
Source: Alexandria
Functional: PBE
Structure: relaxed

Cell lengths 5.6573, 5.6573, 4.8811 Å; angles 90.00, 90.00, 90.00 degrees
Space group P4/mmm (No. 123)
One atom of each set of equivalent atoms:
Zr1 0.0000 0.0000 0.0000 (multiplicity 1)
Zn1 0.0000 0.5000 0.0000 (multiplicity 2)
I1 0.5000 0.5000 0.5000 (multiplicity 1)
Cl1 0.0000 0.0000 0.5000 (multiplicity 1)

Values from the calculation:
- formation energy (no corrections) (kJ/mol of formula units) = -3



Record 3
Compound: SnCF2
Source: Alexandria
Functional: PBE
Structure: relaxed

Cell lengths 3.0651, 3.0651, 22.5470 Å; angles 90.00, 90.00, 120.00 degrees
Space group R-3m (No. 166, hexagonal axes)
One atom of each set of equivalent atoms:
Sn1 0.0000 0.0000 0.0000 (multiplicity 3)
C1 0.0000 0.0000 0.5000 (multiplicity 3)
F1 0.0000 0.0000 0.4177 (multiplicity 6)

Values from the calculation:
- formation energy (no corrections) (kJ/mol of formula units) = 136
- polymorph energy (0 for the lowest one) (kJ per mole of atoms) = 7.28



Record 4
Compound: La2Tb7Tm2
Source: Alexandria
Functional: PBE
Structure: relaxed

Cell lengths 9.2870, 9.4779, 16.4059 Å; angles 90.00, 90.65, 90.00 degrees
Space group C2/c (No. 15)
One atom of each set of equivalent atoms:
La1 0.0852 0.1778 0.4830 (multiplicity 8)
Tb1 0.0000 0.3272 0.2500 (multiplicity 4)
Tb2 0.0879 0.4727 0.9139 (multiplicity 8)
Tb3 0.1768 0.3355 0.7098 (multiplicity 8)
Tb4 0.2438 0.1480 0.9003 (multiplicity 8)
Tm1 0.0871 0.0016 0.1668 (multiplicity 8)

Values from the calculation:
- ΔH_f (0 K) (eV per formula unit) = 1.14
- polymorph energy (0 for the lowest one) (kJ per mole of atoms) = 0.00



Record 5
Compound: ThGe3Ru2
Source: Alexandria
Functional: PBE
Structure: relaxed

Cell lengths 9.3665, 7.9614, 5.8101 Å; angles 90.00, 90.00, 90.00 degrees
Space group Cmcm (No. 63)
One atom of each set of equivalent atoms:
Th1 0.0000 0.1505 0.2500 (multiplicity 4)
Ge1 0.0000 0.4794 0.7500 (multiplicity 4)
Ge2 0.1640 0.2178 0.7500 (multiplicity 8)
Ru1 0.2213 0.5000 0.0000 (multiplicity 8)

Values from the calculation:
- ΔH_f (0 K) (eV per formula unit) = -2.46



Record 6
Compound: SrLiAs2
Source: Alexandria
Functional: PBE
Structure: relaxed

Cell lengths 4.5401, 4.3944, 10.5287 Å; angles 90.00, 90.00, 90.00 degrees
Space group Amm2 (No. 38)
One atom of each set of equivalent atoms:
Sr1 0.0000 0.0000 0.0000 (multiplicity 2)
Li1 0.5000 0.0000 0.2470 (multiplicity 2)
As1 0.0000 0.0000 0.7077 (multiplicity 2)
As2 0.5000 0.0000 0.5836 (multiplicity 2)

Values from the calculation:
- ΔH_f (0 K) (eV per formula unit) = -2.61
- polymorph energy (0 for the lowest one) (kJ per mole of atoms) = 11.54